# PBE Cu2IBr4, relaxed
# Space-group type = P1, No. 1
# ΔE_f (raw) = -197 meV per atom
data_Cu2IBr4
_cell_length_a 7.392
_cell_length_b 7.867
_cell_length_c 9.855
_cell_angle_alpha 116.65
_cell_angle_beta 101.87
_cell_angle_gamma 83.64
_space_group_name_H-M_alt 'P 1'
_space_group_IT_number 1
loop_
_space_group_symop_operation_xyz
'x,y,z'
loop_
_atom_site_label
_atom_site_type_symbol
_atom_site_fract_x
_atom_site_fract_y
_atom_site_fract_z
Cu1 Cu 0.544 0.325 0.660
Cu2 Cu 0.645 0.860 0.221
Cu3 Cu 0.510 0.258 0.073
Cu4 Cu 0.124 0.367 0.781
I1 I 0.101 0.713 0.522
I2 I 0.209 0.199 0.152
Br1 Br 0.699 0.985 0.051
Br2 Br 0.503 0.596 0.212
Br3 Br 0.825 0.435 0.658
Br4 Br 0.975 0.292 0.943
Br5 Br 0.432 0.102 0.381
Br6 Br 0.415 0.178 0.786
Br7 Br 0.295 0.589 0.743
Br8 Br 0.972 0.849 0.317